A relaxed Tb8Sm2Er3 crystal. Source: Alexandria via LeMat-Bulk, functional PBE.

Unit cell a=14.806 b=9.137 c=6.816 alpha=90.00 beta=108.43 gamma=90.00
Space group C2/m (No. 12)
Inequivalent atoms, fractional coordinates:
Tb (0.084, 0.000, 0.224)
Tb (0.118, 0.182, 0.678)
Tb (0.189, 0.500, 0.388)
Sm (0.213, 0.500, 0.918)
Er (0.000, 0.328, 0.000)
Er (0.000, 0.500, 0.500)

Properties
The value obtained for the uncorrected energy is -4.4091 eV per atom. The energy relative to the elements is 0.219 eV/atom.